First-principles (PBE with a Hubbard U) data for Li2MnFeB2O6 after structural relaxation, as listed in Alexandria via LeMat-Bulk.

```
data_Li2MnFeB2O6
_chemical_formula_sum 'Li4 Mn2 Fe2 B4 O12'
_space_group_name_H-M_alt 'P -1'
_space_group_IT_number 2
_space_group_name_Hall '-P 1'
_cell_length_a 5.1622
_cell_length_b 5.2381
_cell_length_c 11.0094
_cell_angle_alpha 76.83
_cell_angle_beta 78.87
_cell_angle_gamma 60.80
loop_
_atom_site_label
_atom_site_fract_x
_atom_site_fract_y
_atom_site_fract_z
Li1 0.0984 0.4664 0.1668
Li2 0.3897 0.0423 0.3423
Mn1 0.2250 0.8649 0.8816
Fe1 0.2872 0.6305 0.6180
B1 0.0551 0.7113 0.3734
B2 0.4372 0.7936 0.1343
O1 0.0825 0.4475 0.3549
O2 0.2023 0.0234 0.6549
O3 0.2099 0.7798 0.0881
O4 0.2921 0.7190 0.4144
O5 0.3052 0.4666 0.8351
O6 0.3994 0.0627 0.1527
```

Properties
Energy relative to the lowest polymorph listed for this composition (kJ/mol of atoms): 0.25